No. 1
## LuZrAu2 (PBE-GGA)

Data for a relaxed LuZrAu2 crystal.

Output
Energy of formation from the pure elements   -0.63 eV per atom
Fermi-level density of states   5.67 states/eV/cell
Symmetry   Fm-3m, No. 225
Total magnetic moment   0.12 Bohr magnetons per cell
E_tot   -5.53 eV/atom

abc: 4.9256 4.9256 4.9256
angles: 60.00 60.00 60.00
With the nearest neighbours (Å) after each atom.
Fractional positions:
1 Au 0.2500 0.2500 0.2500  4 Zr 3.02, 4 Lu 3.02
2 Lu 0.0000 0.0000 0.0000  8 Au 3.02
3 Zr 0.5000 0.5000 0.5000  8 Au 3.02
4 Au 0.7500 0.7500 0.7500  4 Lu 3.02, 4 Zr 3.02



No. 2
## LuZrAu2 (PBE-GGA)

Data for a relaxed LuZrAu2 crystal.

Output
Energy of formation from the pure elements   -0.65 eV per atom
Fermi-level density of states   3.98 states/eV/cell
Symmetry   P4/mmm, No. 123
Total magnetic moment   0.01 Bohr magnetons per cell
E_tot   -5.55 eV/atom

abc: 3.4066 4.9720 4.9720
angles: 90.00 90.00 90.00
With the nearest neighbours (Å) after each atom.
Fractional positions:
1 Lu 0.5000 0.5000 0.5000  8 Au 3.01
2 Zr 0.5000 0.0000 0.0000  8 Au 3.01
3 Au 0.0000 0.0000 0.5000  4 Lu 3.01, 4 Zr 3.01
4 Au 0.0000 0.5000 0.0000  4 Lu 3.01, 4 Zr 3.01



No. 3
## LuZrAu (PBE-GGA)

Data for a relaxed LuZrAu crystal.

Output
Energy of formation from the pure elements   -0.44 eV per atom
Fermi-level density of states   4.23 states/eV/cell
Symmetry   I4mm, No. 107
Total magnetic moment   0.00 Bohr magnetons per cell
E_tot   -5.89 eV/atom

abc: 3.3861 3.3861 6.3760
angles: 105.40 105.40 90.00
With the nearest neighbours (Å) after each atom.
Fractional positions:
1 Lu 0.3249 0.3249 0.6498  4 Au 3.06, 4 Zr 3.25, 4 Lu 3.39
2 Au 0.6640 0.6640 0.3281  4 Zr 3.00, 4 Lu 3.06
3 Zr 0.0111 0.0111 0.0221  4 Au 3.00, 4 Lu 3.25



No. 4
## LuZr2Au (PBE-GGA)

Data for a relaxed LuZr2Au crystal.

Output
Energy of formation from the pure elements   0.14 eV per atom
Fermi-level density of states   5.47 states/eV/cell
Symmetry   R-3m, No. 166
Total magnetic moment   0.00 Bohr magnetons per cell
E_tot   -6.08 eV/atom

abc: 3.1422 3.1422 11.1807
angles: 81.92 81.92 60.00
With the nearest neighbours (Å) after each atom.
Fractional positions:
1 Zr 0.9050 0.9050 0.2849  3 Au 2.99, 6 Zr 3.14, 1 Lu 3.14
2 Lu 0.0000 0.0000 0.0000  6 Lu 3.14, 2 Zr 3.14
3 Zr 0.0950 0.0950 0.7151  3 Au 2.99, 6 Zr 3.14, 1 Lu 3.14
4 Au 0.5000 0.5000 0.5000  6 Zr 2.99, 6 Au 3.14



No. 5
## LuZrAu (PBE-GGA)

Data for a relaxed LuZrAu crystal.

Output
Energy of formation from the pure elements   -0.25 eV per atom
Fermi-level density of states   3.07 states/eV/cell
Symmetry   P3m1, No. 156
Total magnetic moment   0.00 Bohr magnetons per cell
E_tot   -5.70 eV/atom

abc: 3.5195 4.7883 4.7883
angles: 120.00 90.00 90.00
With the nearest neighbours (Å) after each atom.
Fractional positions:
1 Lu 0.6376 0.6667 0.3333  3 Au 3.07, 6 Zr 3.22-3.34
2 Au 0.2576 0.3333 0.6667  3 Zr 2.82, 3 Lu 3.07
3 Zr 0.1048 0.0000 0.0000  3 Au 2.82



No. 6
## Mg3Au2 (PBE-GGA)

Data for a relaxed Mg3Au2 crystal.

Output
Energy of formation from the pure elements   -0.51 eV per atom
Fermi-level density of states   1.23 states/eV/cell
Symmetry   I4/mmm, No. 139
Total magnetic moment   0.00 Bohr magnetons per cell
E_tot   -2.78 eV/atom

abc: 3.4097 3.4097 8.4072
angles: 101.70 101.70 90.00
With the nearest neighbours (Å) after each atom.
Fractional positions:
1 Mg 0.0000 0.0000 0.0000  8 Au 2.92, 2 Mg 3.06
2 Au 0.6020 0.6020 0.2040  8 Mg 2.79-2.92
3 Mg 0.8102 0.8102 0.6205  4 Au 2.79, 5 Mg 3.06-3.09
4 Mg 0.1898 0.1898 0.3795  4 Au 2.79, 5 Mg 3.06-3.09
5 Au 0.3980 0.3980 0.7960  8 Mg 2.79-2.92



No. 7
## MgAu3 (PBE-GGA)

Data for a relaxed MgAu3 crystal.

Output
Energy of formation from the pure elements   -0.21 eV per atom
Fermi-level density of states   1.06 states/eV/cell
Symmetry   P-6m2, No. 187
Total magnetic moment   0.00 Bohr magnetons per cell
E_tot   -3.06 eV/atom

abc: 3.0739 3.0739 8.9453
angles: 90.00 90.00 120.00
With the nearest neighbours (Å) after each atom.
Fractional positions:
1 Au 0.0000 0.0000 0.9864  3 Mg 2.76, 9 Au 2.95-3.07
2 Mg 0.3333 0.6667 0.7500  6 Au 2.76, 6 Mg 3.07
3 Au 0.3333 0.6667 0.2500  12 Au 2.95-3.07
4 Au 0.0000 0.0000 0.5136  3 Mg 2.76, 9 Au 2.95-3.07



No. 8
## Mg5Au (PBE-GGA)

Data for a relaxed Mg5Au crystal.

Output
Energy of formation from the pure elements   -0.20 eV per atom
Fermi-level density of states   2.34 states/eV/cell
Symmetry   P4/mmm, No. 123
Total magnetic moment   0.00 Bohr magnetons per cell
E_tot   -2.08 eV/atom

abc: 3.3154 3.3154 11.7330
angles: 90.00 90.00 90.00
With the nearest neighbours (Å) after each atom.
Fractional positions:
1 Mg 0.0000 0.0000 0.3333  12 Mg 3.17-3.32
2 Mg 0.5000 0.5000 0.1521  12 Mg 3.17-3.32
3 Mg 0.0000 0.0000 0.6984  4 Au 2.83, 1 Mg 3.17
4 Au 0.5000 0.5000 0.8333  8 Mg 2.83
5 Mg 0.0000 0.0000 0.9683  4 Au 2.83, 1 Mg 3.17
6 Mg 0.5000 0.5000 0.5146  12 Mg 3.17-3.32



No. 9
## Mg7Au6 (PBE-GGA)

Data for a relaxed Mg7Au6 crystal.

Output
Energy of formation from the pure elements   -0.23 eV per atom
Fermi-level density of states   3.64 states/eV/cell
Symmetry   R-3m, No. 166
Total magnetic moment   0.00 Bohr magnetons per cell
E_tot   -2.60 eV/atom

abc: 9.6071 9.6071 9.6071
angles: 34.68 34.68 34.68
With the nearest neighbours (Å) after each atom.
Fractional positions:
1 Mg 0.4160 0.9243 0.4160  5 Au 2.73-2.95, 5 Mg 2.82-2.91
2 Mg 0.4160 0.4160 0.9243  5 Au 2.73-2.95, 5 Mg 2.82-2.91
3 Au 0.9457 0.9457 0.9457  2 Au 2.94-3.01, 6 Mg 2.95
4 Mg 0.5840 0.0757 0.5840  5 Au 2.73-2.95, 5 Mg 2.82-2.91
5 Au 0.6670 0.6670 0.6670  6 Mg 2.73-2.77
6 Mg 0.9243 0.4160 0.4160  5 Au 2.73-2.95, 5 Mg 2.82-2.91
7 Au 0.0543 0.0543 0.0543  2 Au 2.94-3.01, 6 Mg 2.95
8 Mg 0.5840 0.5840 0.0757  5 Au 2.73-2.95, 5 Mg 2.82-2.91
9 Au 0.3330 0.3330 0.3330  6 Mg 2.73-2.77
10 Mg 0.5000 0.5000 0.5000  6 Mg 2.86
11 Mg 0.0757 0.5840 0.5840  5 Au 2.73-2.95, 5 Mg 2.82-2.91
12 Au 0.8347 0.8347 0.8347  3 Mg 2.86, 1 Au 3.01
13 Au 0.1653 0.1653 0.1653  3 Mg 2.86, 1 Au 3.01



No. 10
## Mg2Au3 (PBE-GGA)

Data for a relaxed Mg2Au3 crystal.

Output
Energy of formation from the pure elements   -0.32 eV per atom
Fermi-level density of states   1.15 states/eV/cell
Symmetry   R-3m, No. 166
Total magnetic moment   0.00 Bohr magnetons per cell
E_tot   -2.93 eV/atom

abc: 11.0648 11.0648 11.0648
angles: 16.36 16.36 16.36
With the nearest neighbours (Å) after each atom.
Fractional positions:
1 Au 0.2028 0.2028 0.2028  3 Mg 2.77, 3 Au 2.98
2 Au 0.7972 0.7972 0.7972  3 Mg 2.77, 3 Au 2.98
3 Au 0.0000 0.0000 0.0000  6 Mg 2.84, 6 Au 3.15
4 Mg 0.3999 0.3999 0.3999  6 Au 2.77-2.84
5 Mg 0.6001 0.6001 0.6001  6 Au 2.77-2.84



No. 11
## MgAu3 (PBE-GGA)

Data for a relaxed MgAu3 crystal.

Output
Energy of formation from the pure elements   -0.26 eV per atom
Fermi-level density of states   1.30 states/eV/cell
Symmetry   R-3m, No. 166
Total magnetic moment   0.00 Bohr magnetons per cell
E_tot   -3.11 eV/atom

abc: 5.3543 5.3543 5.3543
angles: 116.49 116.49 116.49
With the nearest neighbours (Å) after each atom.
Fractional positions:
1 Au 0.0000 0.5000 0.5000  2 Mg 2.82, 6 Au 2.82-3.05
2 Au 0.5000 0.5000 0.0000  6 Au 2.82-3.05, 2 Mg 2.82
3 Mg 0.5000 0.0000 0.5000  6 Au 2.82, 2 Mg 3.05
4 Au 0.0000 0.0000 0.0000  6 Au 2.82-3.05, 2 Mg 2.82



No. 12
## Mg5Au4 (PBE-GGA)

Data for a relaxed Mg5Au4 crystal.

Output
Energy of formation from the pure elements   -0.41 eV per atom
Fermi-level density of states   3.76 states/eV/cell
Symmetry   I4/mmm, No. 139
Total magnetic moment   0.00 Bohr magnetons per cell
E_tot   -2.75 eV/atom

abc: 6.6288 6.6288 6.6288
angles: 95.80 95.80 142.91
With the nearest neighbours (Å) after each atom.
Fractional positions:
1 Mg 0.6716 0.6716 0.3431  6 Mg 2.89-3.05, 6 Au 2.91-2.92
2 Mg 0.3284 0.6716 0.0000  6 Mg 2.89-3.05, 6 Au 2.91-2.92
3 Mg 0.6716 0.3284 0.0000  6 Mg 2.89-3.05, 6 Au 2.91-2.92
4 Au 0.6806 0.0000 0.6806  7 Mg 2.84-2.92, 4 Au 3.10
5 Au 0.0000 0.3194 0.3194  7 Mg 2.84-2.92, 4 Au 3.10
6 Mg 0.3284 0.3284 0.6569  6 Mg 2.89-3.05, 6 Au 2.91-2.92
7 Au 0.0000 0.6806 0.6806  7 Mg 2.84-2.92, 4 Au 3.10
8 Mg 0.0000 0.0000 0.0000  4 Au 2.84, 8 Mg 3.02
9 Au 0.3194 0.0000 0.3194  7 Mg 2.84-2.92, 4 Au 3.10